No. 1
{
  "formula": "BaLiP2Se8",
  "functional": "PBE",
  "state": "relaxed",
  "cell": [[6.030, 0.000, 0.000], [3.015, 5.722, 0.571], [3.015, 2.702, 10.159]],
  "species": ["Se", "Se", "Se", "Se", "Se", "Se", "Se", "Se", "P", "P", "Li", "Ba"],
  "fractional_positions": [[0.168, 0.920, 0.229], [0.144, 0.323, 0.389], [0.684, 0.920, 0.229], [0.243, 0.512, 0.002], [0.316, 0.080, 0.771], [0.757, 0.488, 0.998], [0.832, 0.080, 0.771], [0.856, 0.677, 0.611], [0.711, 0.786, 0.792], [0.289, 0.214, 0.208], [0.000, 0.000, 0.000], [0.500, 0.500, 0.500]],
  "space_group": "C2/m (12)",
  "crystal_system": "monoclinic",
  "e_form_raw_ev_per_atom": -0.4650
}

No. 2
{
  "formula": "Pm4Dy8Th",
  "functional": "PBE",
  "state": "relaxed",
  "cell": [[-3.176, -4.802, -5.260], [6.531, 0.352, -4.247], [2.848, -6.128, 3.893]],
  "species": ["Pm", "Pm", "Pm", "Pm", "Dy", "Dy", "Dy", "Dy", "Dy", "Dy", "Dy", "Dy", "Th"],
  "fractional_positions": [[0.000, 0.500, 0.500], [0.000, 0.000, 0.000], [0.500, 0.500, 0.000], [0.500, 0.000, 0.500], [0.240, 0.759, 0.240], [0.240, 0.240, 0.759], [0.241, 0.760, 0.760], [0.760, 0.760, 0.241], [0.760, 0.241, 0.760], [0.759, 0.240, 0.240], [0.759, 0.759, 0.759], [0.241, 0.241, 0.241], [0.500, 0.500, 0.500]],
  "space_group": "R-3m (166)",
  "formation_energy_ev_per_atom": 0.514,
  "crystal_system": "trigonal"
}

No. 3
{
  "formula": "SrCa2La",
  "functional": "PBE",
  "state": "relaxed",
  "cell": [[7.334, 0.000, -0.005], [-3.368, 6.515, -0.005], [0.624, 1.025, 3.563]],
  "species": ["La", "Ca", "Ca", "Sr"],
  "fractional_positions": [[0.500, 0.000, 0.500], [0.500, 0.500, 0.000], [0.000, 0.000, 0.000], [0.000, 0.500, 0.500]],
  "e_above_lowest_polymorph_ev_per_atom": 0.036,
  "space_group": "C2/m (12)",
  "formation_energy_ev_per_atom": 0.100,
  "crystal_system": "monoclinic"
}

No. 4
{
  "formula": "AgCl2F8",
  "functional": "PBE",
  "state": "relaxed",
  "cell": [[5.050, -0.605, -0.518], [-0.141, 6.447, 1.054], [-0.141, 2.040, 6.205]],
  "species": ["Ag", "Cl", "Cl", "F", "F", "F", "F", "F", "F", "F", "F"],
  "fractional_positions": [[0.000, 0.000, 0.000], [0.497, 0.277, 0.277], [0.503, 0.723, 0.723], [0.216, 0.901, 0.299], [0.744, 0.189, 0.189], [0.216, 0.299, 0.901], [0.784, 0.701, 0.099], [0.256, 0.811, 0.811], [0.260, 0.367, 0.367], [0.740, 0.633, 0.633], [0.784, 0.099, 0.701]],
  "space_group": "C2/m (12)",
  "crystal_system": "monoclinic",
  "e_form_raw_ev_per_atom": -0.6104
}